# PBE-GGA KRe2Bi, relaxed
data_KRe2Bi
_chemical_formula_sum 'K4 Re8 Bi4'
_cell_length_a 4.7293
_cell_length_b 4.7293
_cell_length_c 20.0669
_cell_angle_alpha 90.00
_cell_angle_beta 90.00
_cell_angle_gamma 90.00
_symmetry_space_group_name_H-M 'I -4 2 d'
_symmetry_Int_Tables_number 122
_symmetry_space_group_name_Hall 'I -4 2bw'
loop_
_atom_site_label
_atom_site_fract_x
_atom_site_fract_y
_atom_site_fract_z
_atom_site_occupancy
K1 0.0000 0.0000 0.0000 1
Re1 0.0718 0.7500 0.6250 1
Bi1 0.0000 0.0000 0.5000 1
# Total magnetic moment, μB per formula unit: 0.00
# Formation enthalpy at 0 K, eV/atom: 1.468
# Raw total energy, eV/cell: -96.01